(1)
BaNdFe2O6 after structural relaxation. Source: Alexandria via LeMat-Bulk, functional GGA+U. Values from VASP.

Properties
- space group = No. 225

Structure (Quantum ESPRESSO input):
```
&SYSTEM
  ibrav = 0, nat = 10, ntyp = 4
/
ATOMIC_SPECIES
Ba 137.33 Ba.upf
Nd 144.24 Nd.upf
Fe 55.84 Fe.upf
O 16.00 O.upf
CELL_PARAMETERS angstrom
5.605 0.000 0.000
2.802 4.854 0.000
2.802 1.618 4.576
ATOMIC_POSITIONS crystal
Ba 0.000 0.000 0.000
Nd 0.500 0.500 0.500
Fe 0.750 0.750 0.750
Fe 0.250 0.250 0.250
O 0.000 0.500 0.500
O 0.500 0.000 0.000
O 0.500 0.500 0.000
O 0.000 0.000 0.500
O 0.500 0.000 0.500
O 0.000 0.500 0.000
```

(2)
Ba2Nd2Fe4O11 after structural relaxation. Source: Alexandria via LeMat-Bulk, functional GGA+U. Values from VASP.

Properties
- space group = No. 65

Structure (Quantum ESPRESSO input):
```
&SYSTEM
  ibrav = 0, nat = 19, ntyp = 4
/
ATOMIC_SPECIES
Ba 137.33 Ba.upf
Nd 144.24 Nd.upf
Fe 55.84 Fe.upf
O 16.00 O.upf
CELL_PARAMETERS angstrom
8.875 0.004 0.000
-5.200 7.192 0.000
0.000 0.000 3.953
ATOMIC_POSITIONS crystal
Ba 0.000 0.500 0.500
Ba 0.500 0.000 0.500
Nd 0.731 0.731 0.500
Nd 0.269 0.269 0.500
Fe 0.125 0.875 0.000
Fe 0.875 0.125 0.000
Fe 0.377 0.623 0.000
Fe 0.623 0.377 0.000
O 0.864 0.655 0.000
O 0.345 0.136 0.000
O 0.136 0.345 0.000
O 0.655 0.864 0.000
O 0.091 0.909 0.500
O 0.909 0.091 0.500
O 0.382 0.618 0.500
O 0.618 0.382 0.500
O 0.247 0.753 0.000
O 0.753 0.247 0.000
O 0.500 0.500 0.000
```

(3)
BaNdFe2O5 after structural relaxation. Source: Alexandria via LeMat-Bulk, functional GGA+U. Values from VASP.

Properties
- space group = No. 123

Structure (Quantum ESPRESSO input):
```
&SYSTEM
  ibrav = 0, nat = 9, ntyp = 4
/
ATOMIC_SPECIES
Ba 137.33 Ba.upf
Nd 144.24 Nd.upf
Fe 55.84 Fe.upf
O 16.00 O.upf
CELL_PARAMETERS angstrom
-3.178 2.264 0.981
0.302 -1.232 3.819
4.699 5.929 1.541
ATOMIC_POSITIONS crystal
Ba 0.500 0.500 0.000
Nd 0.500 0.500 0.500
Fe 0.000 0.000 0.262
Fe 0.000 0.000 0.738
O 0.000 0.500 0.694
O 0.500 0.000 0.306
O 0.000 0.500 0.306
O 0.000 0.000 0.000
O 0.500 0.000 0.694
```

(4)
BaNdFeSnO6 after structural relaxation. Source: Alexandria via LeMat-Bulk, functional GGA+U. Values from VASP.

Properties
- space group = No. 216

Structure (Quantum ESPRESSO input):
```
&SYSTEM
  ibrav = 0, nat = 10, ntyp = 5
/
ATOMIC_SPECIES
Ba 137.33 Ba.upf
Nd 144.24 Nd.upf
Fe 55.84 Fe.upf
Sn 118.71 Sn.upf
O 16.00 O.upf
CELL_PARAMETERS angstrom
3.137 -4.528 1.645
1.300 -0.732 5.552
-2.446 -4.259 2.988
ATOMIC_POSITIONS crystal
Ba 0.750 0.750 0.750
Nd 0.250 0.250 0.250
Fe 0.000 0.000 0.000
Sn 0.500 0.500 0.500
O 0.247 0.753 0.247
O 0.753 0.247 0.753
O 0.247 0.753 0.753
O 0.753 0.247 0.247
O 0.247 0.247 0.753
O 0.753 0.753 0.247
```

(5)
BaSrNdFeO6 after structural relaxation. Source: Alexandria via LeMat-Bulk, functional GGA+U. Values from VASP.

Properties
- space group = No. 216

Structure (Quantum ESPRESSO input):
```
&SYSTEM
  ibrav = 0, nat = 10, ntyp = 5
/
ATOMIC_SPECIES
Ba 137.33 Ba.upf
Sr 87.62 Sr.upf
Nd 144.24 Nd.upf
Fe 55.84 Fe.upf
O 16.00 O.upf
CELL_PARAMETERS angstrom
4.904 0.092 3.324
-0.238 -1.676 5.678
2.525 -5.084 1.696
ATOMIC_POSITIONS crystal
Ba 0.250 0.250 0.250
Sr 0.750 0.750 0.750
Nd 0.500 0.500 0.500
Fe 0.000 0.000 0.000
O 0.227 0.773 0.227
O 0.773 0.227 0.773
O 0.227 0.773 0.773
O 0.773 0.227 0.227
O 0.227 0.227 0.773
O 0.773 0.773 0.227
```

(6)
Ba5SrNd2Fe4O15 after structural relaxation. Source: Alexandria via LeMat-Bulk, functional GGA+U. Values from VASP.

Properties
- space group = No. 9

Structure (Quantum ESPRESSO input):
```
&SYSTEM
  ibrav = 0, nat = 54, ntyp = 5
/
ATOMIC_SPECIES
Ba 137.33 Ba.upf
Sr 87.62 Sr.upf
Nd 144.24 Nd.upf
Fe 55.84 Fe.upf
O 16.00 O.upf
CELL_PARAMETERS angstrom
11.854 -0.005 0.014
-5.904 10.279 0.014
0.013 0.022 7.069
ATOMIC_POSITIONS crystal
Ba 0.000 0.002 0.492
Ba 0.002 0.000 0.992
Ba 0.334 0.669 0.029
Ba 0.669 0.334 0.529
Ba 0.825 0.651 0.831
Ba 0.353 0.171 0.840
Ba 0.826 0.180 0.839
Ba 0.171 0.353 0.340
Ba 0.651 0.825 0.331
Ba 0.180 0.826 0.339
Sr 0.525 0.046 0.166
Sr 0.046 0.525 0.666
Nd 0.955 0.481 0.169
Nd 0.519 0.475 0.164
Nd 0.481 0.955 0.669
Nd 0.475 0.519 0.664
Fe 0.666 0.335 0.988
Fe 0.335 0.666 0.488
Fe 0.180 0.820 0.836
Fe 0.177 0.360 0.841
Fe 0.642 0.816 0.831
Fe 0.820 0.180 0.336
Fe 0.816 0.642 0.331
Fe 0.360 0.177 0.341
O 0.935 0.336 0.460
O 0.659 0.592 0.467
O 0.403 0.070 0.488
O 0.934 0.607 0.456
O 0.676 0.064 0.488
O 0.391 0.330 0.472
O 0.064 0.676 0.988
O 0.330 0.391 0.972
O 0.607 0.934 0.956
O 0.070 0.403 0.988
O 0.336 0.935 0.960
O 0.592 0.659 0.967
O 0.416 0.582 0.337
O 0.416 0.827 0.346
O 0.176 0.588 0.335
O 0.582 0.416 0.837
O 0.588 0.176 0.835
O 0.827 0.416 0.846
O 0.753 0.258 0.162
O 0.746 0.500 0.153
O 0.501 0.258 0.161
O 0.258 0.753 0.662
O 0.258 0.501 0.661
O 0.500 0.746 0.653
O 0.084 0.197 0.729
O 0.807 0.883 0.726
O 0.100 0.903 0.720
O 0.883 0.807 0.226
O 0.197 0.084 0.229
O 0.903 0.100 0.220
```

(7)
BaTbNdFeO6 after structural relaxation. Source: Alexandria via LeMat-Bulk, functional GGA+U. Values from VASP.

Properties
- space group = No. 216

Structure (Quantum ESPRESSO input):
```
&SYSTEM
  ibrav = 0, nat = 10, ntyp = 5
/
ATOMIC_SPECIES
Ba 137.33 Ba.upf
Tb 158.93 Tb.upf
Nd 144.24 Nd.upf
Fe 55.84 Fe.upf
O 16.00 O.upf
CELL_PARAMETERS angstrom
4.451 -3.184 -2.086
4.041 -2.136 3.661
0.237 -5.754 1.065
ATOMIC_POSITIONS crystal
Ba 0.250 0.250 0.250
Tb 0.500 0.500 0.500
Nd 0.750 0.750 0.750
Fe 0.000 0.000 0.000
O 0.236 0.764 0.236
O 0.764 0.236 0.764
O 0.236 0.764 0.764
O 0.764 0.236 0.236
O 0.236 0.236 0.764
O 0.764 0.764 0.236
```

Total energy / eV per formula unit: -68.64, -133.21, -63.07, -68.02, -66.10, -181.07, -71.24
Spin magnetization / μB per cell: 8.99, 20.00, 9.00, 5.00, 3.04, 32.28, 4.00